[1]
Compound: CaBeTc2
Source: the Alexandria database
Functional: PBE
Structure: optimized geometry

Calculated formation energy   0.66 eV/atom
Density of states at the Fermi level   0.61 states/eV per atom

Unit cell a=3.7811 b=3.7811 c=8.9786 alpha=90.00 beta=90.00 gamma=90.00
Closest atoms and distances in Å follow each position.
Space group I4/mmm (No. 139)
Symmetry-distinct sites (fractional):
Ca (0.0000, 0.0000, 0.0000) x2  4 Be 2.67, 8 Tc 2.93
Be (0.0000, 0.0000, 0.5000) x2  4 Ca 2.67, 8 Tc 2.93
Tc (0.0000, 0.5000, 0.2500) x4  4 Tc 2.67, 4 Be 2.93, 4 Ca 2.93

=====

[2]
Compound: Ca3BeTc
Source: the Alexandria database
Functional: PBE
Structure: optimized geometry

Calculated formation energy   0.93 eV/atom
Density of states at the Fermi level   0.75 states/eV per atom
Distance to the lowest polymorph of the same formula   0.00 kcal/mol of atoms

Unit cell a=5.4043 b=5.4043 c=5.4043 alpha=90.00 beta=90.00 gamma=90.00
Closest atoms and distances in Å follow each position.
Space group Pm-3m (No. 221)
Symmetry-distinct sites (fractional):
Ca (0.0000, 0.0000, 0.5000) x3  2 Tc 2.70
Be (0.5000, 0.5000, 0.5000) x1  12 Ca 3.82
Tc (0.0000, 0.0000, 0.0000) x1  6 Ca 2.70

=====

> Number 1 is which compound?

CaBeTc2

=====

> Look up the density of states at the Fermi level of the first one.

0.61 states/eV per atom

=====

> Among the records above, which one has the lowest density of states at the Fermi level?

CaBeTc2